Computed, not measured: crystalline P2WO7 at its relaxed geometry at the GGA-PBEsol level of DFT.

a = 4.9620 Å, b = 8.2952 Å, c = 7.0176 Å
α = 90.00°, β = 106.03°, γ = 90.00°
Atoms (fractional coordinates):
P 0.1148 0.0000 0.4968
P 0.2556 0.4255 0.8880
P 0.7444 0.9255 0.1120
P 0.8852 0.5000 0.5032
W 0.2844 0.6887 0.2708
W 0.7156 0.1887 0.7292
O 0.0644 0.2853 0.9116
O 0.0642 0.5162 0.3582
O 0.0744 0.5462 0.7211
O 0.2079 0.8256 0.4895
O 0.3552 0.5293 0.0704
O 0.3576 0.1191 0.5378
O 0.4987 0.8655 0.1835
O 0.5013 0.3655 0.8165
O 0.6424 0.6191 0.4622
O 0.6448 0.0293 0.9296
O 0.7921 0.3256 0.5105
O 0.9256 0.0462 0.2789
O 0.9358 0.0162 0.6418
O 0.9356 0.7853 0.0884

E_tot ... -8.2160 eV/atom
Size of the total moment ... 4.00 Bohr magnetons per cell
Energy relative to the elements, uncorrected ... -2.002 eV per atom


Computed, not measured: crystalline P3W2O12 at its relaxed geometry at the GGA-PBEsol level of DFT.

a = 8.9246 Å, b = 8.9246 Å, c = 8.9246 Å
α = 58.19°, β = 58.19°, γ = 58.19°
Atoms (fractional coordinates):
P 0.0338 0.7501 0.4661
P 0.2499 0.5339 0.9662
P 0.4661 0.0338 0.7501
P 0.5339 0.9662 0.2499
P 0.7501 0.4661 0.0338
P 0.9662 0.2499 0.5339
W 0.1428 0.1428 0.1428
W 0.3571 0.3571 0.3571
W 0.6429 0.6429 0.6429
W 0.8572 0.8572 0.8572
O 0.0055 0.7747 0.6381
O 0.0624 0.9228 0.2903
O 0.0772 0.7097 0.9376
O 0.1387 0.2734 0.5059
O 0.2090 0.5765 0.4388
O 0.2253 0.3619 0.9945
O 0.2734 0.5059 0.1387
O 0.2903 0.0624 0.9228
O 0.3619 0.9945 0.2253
O 0.4235 0.5612 0.7910
O 0.4388 0.2090 0.5764
O 0.4941 0.8613 0.7266
O 0.5059 0.1387 0.2734
O 0.5612 0.7910 0.4235
O 0.5764 0.4388 0.2090
O 0.6381 0.0055 0.7747
O 0.7097 0.9376 0.0772
O 0.7266 0.4941 0.8613
O 0.7747 0.6381 0.0055
O 0.7910 0.4236 0.5612
O 0.8613 0.7266 0.4941
O 0.9228 0.2903 0.0624
O 0.9376 0.0772 0.7097
O 0.9945 0.2253 0.3619

E_tot ... -8.4173 eV/atom
Size of the total moment ... 6.01 Bohr magnetons per cell
Energy relative to the elements, uncorrected ... -2.066 eV per atom


Computed, not measured: crystalline P2WO7 at its relaxed geometry at the GGA-PBEsol level of DFT.

a = 8.2992 Å, b = 8.2992 Å, c = 8.2992 Å
α = 90.00°, β = 90.00°, γ = 90.00°
Atoms (fractional coordinates):
P 0.1101 0.1101 0.1101
P 0.1101 0.3899 0.6101
P 0.3899 0.6101 0.1101
P 0.3899 0.8899 0.6101
P 0.6101 0.1101 0.3899
P 0.6101 0.3899 0.8899
P 0.8899 0.6101 0.3899
P 0.8899 0.8899 0.8899
W 0.0000 0.0000 0.5000
W 0.0000 0.5000 0.0000
W 0.5000 0.0000 0.0000
W 0.5000 0.5000 0.5000
O 0.0000 0.0000 0.0000
O 0.0000 0.5000 0.5000
O 0.0585 0.2172 0.5837
O 0.0585 0.2828 0.0837
O 0.0837 0.0585 0.2828
O 0.0837 0.4415 0.7828
O 0.2172 0.5837 0.0585
O 0.2172 0.9163 0.5585
O 0.2828 0.0837 0.0585
O 0.2828 0.4163 0.5585
O 0.4163 0.5585 0.2828
O 0.4163 0.9415 0.7828
O 0.4415 0.7172 0.5837
O 0.4415 0.7828 0.0837
O 0.5000 0.0000 0.5000
O 0.5000 0.5000 0.0000
O 0.5585 0.2172 0.9163
O 0.5585 0.2828 0.4163
O 0.5837 0.0585 0.2172
O 0.5837 0.4415 0.7172
O 0.7172 0.5837 0.4415
O 0.7172 0.9163 0.9415
O 0.7828 0.0837 0.4415
O 0.7828 0.4163 0.9415
O 0.9163 0.5585 0.2172
O 0.9163 0.9415 0.7172
O 0.9415 0.7172 0.9163
O 0.9415 0.7828 0.4163

E_tot ... -8.2012 eV/atom
Size of the total moment ... 8.00 Bohr magnetons per cell
Energy relative to the elements, uncorrected ... -1.988 eV per atom


Computed, not measured: crystalline ZnPWO2 at its relaxed geometry at the GGA-PBEsol level of DFT.

a = 3.6572 Å, b = 3.6572 Å, c = 4.7896 Å
α = 90.00°, β = 90.00°, γ = 90.00°
Atoms (fractional coordinates):
Zn 0.0000 0.0000 0.0000
P 0.0000 0.0000 0.5000
W 0.5000 0.5000 0.5000
O 0.0000 0.5000 0.0000
O 0.5000 0.0000 0.0000

E_tot ... -5.8144 eV/atom
Size of the total moment ... 0.96 Bohr magnetons per cell
Energy relative to the elements, uncorrected ... 0.521 eV per atom


Computed, not measured: crystalline ZrP2WO at its relaxed geometry at the GGA-PBEsol level of DFT.

a = 4.9910 Å, b = 4.9910 Å, c = 3.8068 Å
α = 90.00°, β = 90.00°, γ = 90.00°
Atoms (fractional coordinates):
Zr 0.0000 0.0000 0.0000
P 0.0000 0.5000 0.0000
P 0.5000 0.0000 0.0000
W 0.5000 0.5000 0.5000
O 0.0000 0.0000 0.5000

E_tot ... -7.6286 eV/atom
Size of the total moment ... 2.13 Bohr magnetons per cell
Energy relative to the elements, uncorrected ... 0.317 eV per atom


Computed, not measured: crystalline YP3O9 at its relaxed geometry at the GGA-PBEsol level of DFT.

a = 12.9309 Å, b = 12.9309 Å, c = 12.9309 Å
α = 110.46°, β = 110.46°, γ = 110.46°
Atoms (fractional coordinates):
Y 0.0000 0.0000 0.0000
Y 0.0204 0.5376 0.7304
Y 0.2696 0.9796 0.4624
Y 0.4624 0.2696 0.9796
Y 0.5000 0.5000 0.5000
Y 0.5376 0.7304 0.0204
Y 0.7304 0.0204 0.5376
Y 0.9796 0.4624 0.2696
P 0.0171 0.1996 0.2983
P 0.0688 0.2870 0.7665
P 0.1996 0.2983 0.0171
P 0.2098 0.6721 0.6242
P 0.2335 0.9312 0.7130
P 0.2686 0.2696 0.5187
P 0.2696 0.5187 0.2686
P 0.2870 0.7665 0.0688
P 0.2983 0.0171 0.1996
P 0.3279 0.3758 0.7902
P 0.3758 0.7902 0.3279
P 0.4813 0.7314 0.7304
P 0.5187 0.2686 0.2696
P 0.6242 0.2098 0.6721
P 0.6721 0.6242 0.2098
P 0.7017 0.9829 0.8004
P 0.7130 0.2335 0.9312
P 0.7304 0.4813 0.7314
P 0.7314 0.7304 0.4813
P 0.7665 0.0688 0.2870
P 0.7902 0.3279 0.3758
P 0.8004 0.7017 0.9829
P 0.9312 0.7130 0.2335
P 0.9829 0.8004 0.7017
O 0.0040 0.6975 0.7133
O 0.0214 0.1080 0.1926
O 0.0533 0.8461 0.3258
O 0.0630 0.3992 0.7635
O 0.0876 0.8827 0.6785
O 0.1080 0.1926 0.0214
O 0.1107 0.6188 0.4858
O 0.1173 0.3215 0.9124
O 0.1391 0.5024 0.2301
O 0.1449 0.2723 0.4382
O 0.1539 0.6742 0.9467
O 0.1777 0.6003 0.6887
O 0.1794 0.2785 0.7427
O 0.1926 0.0214 0.1080
O 0.2301 0.1391 0.5024
O 0.2364 0.9370 0.6008
O 0.2573 0.8206 0.7215
O 0.2723 0.4382 0.1449
O 0.2785 0.7427 0.1794
O 0.2867 0.9960 0.3025
O 0.3025 0.2867 0.9960
O 0.3113 0.8223 0.3997
O 0.3137 0.3750 0.6621
O 0.3215 0.9124 0.1173
O 0.3258 0.0533 0.8461
O 0.3270 0.4916 0.3706
O 0.3379 0.6863 0.6250
O 0.3706 0.3270 0.4916
O 0.3750 0.6621 0.3137
O 0.3812 0.5142 0.8893
O 0.3992 0.7635 0.0630
O 0.3997 0.3113 0.8223
O 0.4382 0.1449 0.2723
O 0.4858 0.1107 0.6188
O 0.4916 0.3706 0.3270
O 0.4976 0.7699 0.8609
O 0.5024 0.2301 0.1391
O 0.5084 0.6294 0.6730
O 0.5142 0.8893 0.3812
O 0.5618 0.8551 0.7277
O 0.6003 0.6887 0.1777
O 0.6008 0.2364 0.9370
O 0.6188 0.4858 0.1107
O 0.6250 0.3379 0.6863
O 0.6294 0.6730 0.5084
O 0.6621 0.3137 0.3750
O 0.6730 0.5084 0.6294
O 0.6742 0.9467 0.1539
O 0.6785 0.0876 0.8827
O 0.6863 0.6250 0.3379
O 0.6887 0.1777 0.6003
O 0.6975 0.7133 0.0040
O 0.7133 0.0040 0.6975
O 0.7215 0.2573 0.8206
O 0.7277 0.5618 0.8551
O 0.7427 0.1794 0.2785
O 0.7635 0.0630 0.3992
O 0.7699 0.8609 0.4976
O 0.8074 0.9786 0.8920
O 0.8206 0.7215 0.2573
O 0.8223 0.3997 0.3113
O 0.8461 0.3258 0.0533
O 0.8551 0.7277 0.5618
O 0.8609 0.4976 0.7699
O 0.8827 0.6785 0.0876
O 0.8893 0.3812 0.5142
O 0.8920 0.8074 0.9786
O 0.9124 0.1173 0.3215
O 0.9370 0.6008 0.2364
O 0.9467 0.1539 0.6742
O 0.9786 0.8920 0.8074
O 0.9960 0.3025 0.2867

E_tot ... -8.0462 eV/atom
Size of the total moment ... 0.00 Bohr magnetons per cell
Energy relative to the elements, uncorrected ... -2.551 eV per atom


Computed, not measured: crystalline YP3O9 at its relaxed geometry at the GGA-PBEsol level of DFT.

a = 7.8749 Å, b = 7.8749 Å, c = 10.0941 Å
α = 123.32°, β = 123.32°, γ = 50.80°
Atoms (fractional coordinates):
Y 0.2342 0.7658 0.5000
Y 0.7658 0.2342 0.0000
P 0.1774 0.3366 0.7720
P 0.3366 0.1774 0.2720
P 0.5613 0.7409 0.3344
P 0.7409 0.5613 0.8344
P 0.7428 0.9524 0.1630
P 0.9524 0.7428 0.6630
O 0.0814 0.8166 0.6567
O 0.1294 0.1431 0.6314
O 0.1305 0.5010 0.6968
O 0.1431 0.1294 0.1314
O 0.2791 0.4123 0.3964
O 0.3836 0.7481 0.3565
O 0.4123 0.2791 0.8964
O 0.4986 0.9990 0.3754
O 0.5010 0.1305 0.1968
O 0.5903 0.6148 0.6730
O 0.6148 0.5903 0.1730
O 0.6623 0.7962 0.9794
O 0.7481 0.3836 0.8565
O 0.7962 0.6623 0.4794
O 0.8166 0.0814 0.1567
O 0.8174 0.9089 0.7838
O 0.9089 0.8174 0.2838
O 0.9990 0.4986 0.8754

E_tot ... -8.0387 eV/atom
Size of the total moment ... 0.00 Bohr magnetons per cell
Energy relative to the elements, uncorrected ... -2.543 eV per atom


Computed, not measured: crystalline YP3O9 at its relaxed geometry at the GGA-PBEsol level of DFT.

a = 7.0018 Å, b = 9.7125 Å, c = 11.0471 Å
α = 90.00°, β = 91.90°, γ = 90.00°
Atoms (fractional coordinates):
Y 0.1746 0.2500 0.4627
Y 0.3119 0.2500 0.9813
Y 0.6881 0.7500 0.0187
Y 0.8254 0.7500 0.5373
P 0.1773 0.7500 0.1041
P 0.2663 0.0109 0.2322
P 0.2663 0.4891 0.2322
P 0.3134 0.7500 0.6266
P 0.3258 0.0346 0.7162
P 0.3258 0.4654 0.7162
P 0.6742 0.5346 0.2838
P 0.6742 0.9654 0.2838
P 0.6866 0.2500 0.3734
P 0.7337 0.5109 0.7678
P 0.7337 0.9891 0.7678
P 0.8227 0.2500 0.8959
O 0.0092 0.7500 0.0172
O 0.1446 0.7500 0.5397
O 0.1494 0.0872 0.3209
O 0.1494 0.4128 0.3209
O 0.1499 0.6247 0.1968
O 0.1499 0.8753 0.1968
O 0.2279 0.0929 0.6053
O 0.2279 0.4071 0.6053
O 0.2789 0.0910 0.8373
O 0.2789 0.4090 0.8373
O 0.2934 0.6277 0.7232
O 0.2934 0.8723 0.7232
O 0.3278 0.0854 0.1212
O 0.3278 0.4146 0.1212
O 0.3751 0.7500 0.0567
O 0.4494 0.5506 0.3051
O 0.4494 0.9494 0.3051
O 0.4905 0.2500 0.4233
O 0.5095 0.7500 0.5767
O 0.5506 0.0506 0.6949
O 0.5506 0.4494 0.6949
O 0.6249 0.2500 0.9433
O 0.6722 0.5854 0.8788
O 0.6722 0.9146 0.8788
O 0.7066 0.1277 0.2768
O 0.7066 0.3723 0.2768
O 0.7211 0.5910 0.1627
O 0.7211 0.9090 0.1627
O 0.7721 0.5929 0.3947
O 0.7721 0.9071 0.3947
O 0.8501 0.1247 0.8032
O 0.8501 0.3753 0.8032
O 0.8506 0.5872 0.6791
O 0.8506 0.9128 0.6791
O 0.8554 0.2500 0.4603
O 0.9908 0.2500 0.9828

E_tot ... -8.0479 eV/atom
Size of the total moment ... 0.00 Bohr magnetons per cell
Energy relative to the elements, uncorrected ... -2.553 eV per atom


Computed, not measured: crystalline YZnPO2 at its relaxed geometry at the GGA-PBEsol level of DFT.

a = 4.1237 Å, b = 4.1237 Å, c = 5.8412 Å
α = 90.00°, β = 90.00°, γ = 90.00°
Atoms (fractional coordinates):
Y 0.0000 0.0000 0.0000
Zn 0.5000 0.5000 0.5000
P 0.0000 0.0000 0.5000
O 0.0000 0.5000 0.0000
O 0.5000 0.0000 0.0000

E_tot ... -5.6121 eV/atom
Size of the total moment ... 1.52 Bohr magnetons per cell
Energy relative to the elements, uncorrected ... -0.673 eV per atom


Computed, not measured: crystalline YZnPO2 at its relaxed geometry at the GGA-PBEsol level of DFT.

a = 3.9657 Å, b = 3.9657 Å, c = 4.4692 Å
α = 90.00°, β = 90.00°, γ = 90.00°
Atoms (fractional coordinates):
Y 0.0000 0.0000 0.0000
Zn 0.5000 0.5000 0.5000
P 0.5000 0.5000 0.0000
O 0.0000 0.5000 0.5000
O 0.5000 0.0000 0.5000

E_tot ... -5.8523 eV/atom
Size of the total moment ... 0.00 Bohr magnetons per cell
Energy relative to the elements, uncorrected ... -0.913 eV per atom


Computed, not measured: crystalline ZnPO2 at its relaxed geometry at the GGA-PBEsol level of DFT.

a = 6.3315 Å, b = 6.3315 Å, c = 6.3315 Å
α = 141.58°, β = 141.58°, γ = 55.46°
Atoms (fractional coordinates):
Zn 0.0000 0.0000 0.0000
Zn 0.7500 0.2500 0.5000
P 0.2500 0.7500 0.5000
P 0.5000 0.5000 0.0000
O 0.1363 0.6250 0.0113
O 0.3750 0.3863 0.5113
O 0.6137 0.1250 0.9887
O 0.8750 0.8637 0.4887

E_tot ... -5.0130 eV/atom
Size of the total moment ... 0.00 Bohr magnetons per cell
Energy relative to the elements, uncorrected ... -0.545 eV per atom


Computed, not measured: crystalline Zn2P2O7 at its relaxed geometry at the GGA-PBEsol level of DFT.

a = 5.2760 Å, b = 5.2760 Å, c = 4.5160 Å
α = 98.97°, β = 98.97°, γ = 103.35°
Atoms (fractional coordinates):
Zn 0.1908 0.8092 0.0000
Zn 0.8092 0.1908 0.0000
P 0.2829 0.2829 0.5932
P 0.7171 0.7171 0.4068
O 0.1163 0.1163 0.2856
O 0.1222 0.4300 0.7786
O 0.4300 0.1222 0.7786
O 0.5000 0.5000 0.5000
O 0.5700 0.8778 0.2214
O 0.8778 0.5700 0.2214
O 0.8837 0.8837 0.7144

E_tot ... -6.6623 eV/atom
Size of the total moment ... 0.00 Bohr magnetons per cell
Energy relative to the elements, uncorrected ... -1.981 eV per atom


Computed, not measured: crystalline ZnP3O at its relaxed geometry at the GGA-PBEsol level of DFT.

a = 4.5146 Å, b = 4.5146 Å, c = 4.5146 Å
α = 90.00°, β = 90.00°, γ = 90.00°
Atoms (fractional coordinates):
Zn 0.0000 0.0000 0.0000
P 0.0000 0.0000 0.5000
P 0.0000 0.5000 0.0000
P 0.5000 0.0000 0.0000
O 0.5000 0.5000 0.5000

E_tot ... -3.3760 eV/atom
Size of the total moment ... 1.92 Bohr magnetons per cell
Energy relative to the elements, uncorrected ... 1.465 eV per atom